# 1
## Na2Tl3Rh (GGA-PBE)

Data for an optimized crystal structure of Na2Tl3Rh.

Calculated values
raw total energy = -0.21115 Ry per atom
calculated volume = 287.1 Å³/cell
size of the total moment = 0.0 μB/f.u.
DFT formation energy = -0.025 eV per atom

Cell: 4.855 7.732 8.056 Å, 90.00 90.00 71.70°
Element x y z (fractional)
Tl (0.176, 0.649, 0.208)
Na (0.000, 0.000, 0.500)
Tl (0.176, 0.649, 0.792)
Tl (0.824, 0.351, 0.792)
Rh (0.341, 0.318, 0.000)
Tl (0.500, 0.000, 0.221)
Na (0.664, 0.673, 0.500)
Na (0.000, 0.000, 0.000)
Na (0.336, 0.327, 0.500)
Tl (0.500, 0.000, 0.779)
Tl (0.824, 0.351, 0.208)
Rh (0.659, 0.682, 0.000)


# 2
## Na2Tl8Rh (GGA-PBE)

Data for an optimized crystal structure of Na2Tl8Rh.

Calculated values
raw total energy = -0.19327 Ry per atom
calculated volume = 299.2 Å³/cell
size of the total moment = 0.0 μB/f.u.
DFT formation energy = -0.001 eV per atom

Cell: 5.144 6.805 9.115 Å, 101.72 106.39 90.00°
Element x y z (fractional)
Tl (0.356, 0.116, 0.711)
Tl (0.404, 0.610, 0.809)
Tl (0.793, 0.346, 0.586)
Tl (0.018, 0.764, 0.036)
Na (0.171, 0.164, 0.342)
Tl (0.982, 0.236, 0.964)
Rh (0.500, 0.000, 0.000)
Na (0.829, 0.836, 0.658)
Tl (0.644, 0.884, 0.289)
Tl (0.596, 0.390, 0.191)
Tl (0.207, 0.654, 0.414)


# 3
## Na2Tl2Rh (GGA-PBE)

Data for an optimized crystal structure of Na2Tl2Rh.

Calculated values
raw total energy = -0.21144 Ry per atom
calculated volume = 266.3 Å³/cell
size of the total moment = 0.0 μB/f.u.
DFT formation energy = 0.068 eV per atom

Cell: 7.142 7.142 5.220 Å, 90.00 90.00 90.00°
Element x y z (fractional)
Na (0.324, 0.176, 0.500)
Na (0.676, 0.824, 0.500)
Na (0.824, 0.324, 0.500)
Tl (0.157, 0.343, 0.000)
Rh (0.000, 0.000, 0.000)
Tl (0.657, 0.157, 0.000)
Tl (0.343, 0.843, 0.000)
Tl (0.843, 0.657, 0.000)
Rh (0.500, 0.500, 0.000)
Na (0.176, 0.676, 0.500)


# 4
## Na5Tl5Rh (GGA-PBE)

Data for an optimized crystal structure of Na5Tl5Rh.

Calculated values
raw total energy = -0.17409 Ry per atom
calculated volume = 319.3 Å³/cell
size of the total moment = 0.0 μB/f.u.
DFT formation energy = -0.025 eV per atom

Cell: 5.334 6.506 10.134 Å, 94.97 90.00 114.20°
Element x y z (fractional)
Na (0.706, 0.412, 0.409)
Tl (0.500, 0.000, 0.000)
Na (0.294, 0.588, 0.591)
Na (0.000, 0.000, 0.500)
Tl (0.207, 0.413, 0.890)
Na (0.583, 0.166, 0.717)
Rh (0.000, 0.000, 0.000)
Na (0.417, 0.834, 0.283)
Tl (0.861, 0.722, 0.767)
Tl (0.793, 0.587, 0.110)
Tl (0.139, 0.278, 0.233)


# 5
## Na3Tl4Rh (GGA-PBE)

Data for an optimized crystal structure of Na3Tl4Rh.

Calculated values
raw total energy = -0.18584 Ry per atom
calculated volume = 251.7 Å³/cell
size of the total moment = 0.0 μB/f.u.
DFT formation energy = 0.068 eV per atom

Cell: 7.084 7.084 7.084 Å, 101.72 100.40 128.06°
Element x y z (fractional)
Tl (0.530, 0.255, 0.275)
Tl (0.019, 0.745, 0.275)
Na (0.575, 0.191, 0.766)
Na (0.946, 0.000, 0.946)
Na (0.575, 0.809, 0.384)
Rh (0.021, 0.500, 0.521)
Tl (0.242, 0.310, 0.552)
Tl (0.242, 0.690, 0.932)


# 6
## NaTlRh (GGA-PBE)

Data for an optimized crystal structure of NaTlRh.

Calculated values
raw total energy = -0.25968 Ry per atom
calculated volume = 62.4 Å³/cell
size of the total moment = 0.0 μB/f.u.
DFT formation energy = 0.146 eV per atom

Cell: 3.184 4.756 4.756 Å, 120.00 90.00 90.00°
Element x y z (fractional)
Rh (0.172, 0.000, 0.000)
Na (0.666, 0.333, 0.667)
Tl (0.162, 0.667, 0.333)


# 7
## Na5Tl4Rh (GGA-PBE)

Data for an optimized crystal structure of Na5Tl4Rh.

Calculated values
raw total energy = -0.17164 Ry per atom
calculated volume = 300.7 Å³/cell
size of the total moment = 0.0 μB/f.u.
DFT formation energy = 0.006 eV per atom

Cell: 3.303 9.956 9.536 Å, 102.95 99.97 90.00°
Element x y z (fractional)
Tl (0.349, 0.930, 0.698)
Na (0.829, 0.617, 0.657)
Na (0.820, 0.224, 0.639)
Tl (0.004, 0.778, 0.008)
Rh (0.500, 0.000, 0.000)
Tl (0.996, 0.222, 0.992)
Na (0.171, 0.383, 0.343)
Na (0.500, 0.500, 0.000)
Na (0.180, 0.776, 0.361)
Tl (0.651, 0.070, 0.302)


# 8
## NaTlRh4 (GGA-PBE)

Data for an optimized crystal structure of NaTlRh4.

Calculated values
raw total energy = -0.39241 Ry per atom
calculated volume = 102.9 Å³/cell
size of the total moment = 0.8 μB/f.u.
DFT formation energy = 0.176 eV per atom

Cell: 5.259 5.259 5.259 Å, 60.00 60.00 60.00°
Site moments in Bohr magnetons follow the coordinates.
Element x y z (fractional)
Rh (0.625, 0.625, 0.125)  0.20
Tl (0.000, 0.000, 0.000)  -0.01
Rh (0.125, 0.625, 0.625)  0.20
Na (0.250, 0.250, 0.250)  0.00
Rh (0.625, 0.625, 0.625)  0.20
Rh (0.625, 0.125, 0.625)  0.20